Material: Cu2PbF5
Method: DFT, PBE-GGA
State: relaxed

Summary:
Its calculated volume is 249 Å³ per cell. The theoretical density comes out at 5.73 g/cm³. The value obtained for the raw total energy is -4.3466 eV/atom. As for the uncorrected formation energy: -1689 meV/atom.

Cell: 3.7873 12.0676 5.4405 Å, 90.00 90.00 90.00°
Last column: nearest neighbours and their distance in Å.
Space group Pmmn (No. 59, origin choice 2)
Inequivalent atoms, fractional coordinates:
Cu (0.2500, 0.0921, 0.1148) (multiplicity 4)  5 F 1.99-2.20
Pb (0.2500, 0.7500, 0.3652) (multiplicity 2)  8 F 2.53-2.73
F (0.2500, 0.1328, 0.4701) (multiplicity 4)  1 Cu 1.99
F (0.2500, 0.2500, 0.9961) (multiplicity 2)  2 Cu 2.01
F (0.2500, 0.5746, 0.0885) (multiplicity 4)  3 Cu 2.02-2.20